Record 1
{
  "formula": "Zn3TcRh",
  "functional": "meta-GGA SCAN",
  "state": "PBEsol geometry",
  "e_tot_ev_per_cell": -105.17,
  "e_form_ev_per_atom": 0.84,
  "spacegroup": "No. 221",
  "crystal_system": "cubic",
  "cell": [[4.554, 0.000, 0.000], [0.000, 4.554, 0.000], [0.000, 0.000, 4.554]],
  "species": ["Zn", "Zn", "Zn", "Tc", "Rh"],
  "fractional_positions": [[0.000, 0.000, 0.500], [0.000, 0.500, 0.000], [0.500, 0.000, 0.000], [0.500, 0.500, 0.500], [0.000, 0.000, 0.000]]
}

Record 2
{
  "formula": "Zn2TcRh",
  "functional": "meta-GGA SCAN",
  "state": "PBEsol geometry",
  "de_polymorph_kj_per_mol_fu": 0,
  "e_tot_ev_per_cell": -96.01,
  "e_form_ev_per_atom": -0.04,
  "spacegroup": "No. 123",
  "crystal_system": "tetragonal",
  "cell": [[2.895, 0.000, 0.000], [0.000, 2.895, 0.000], [0.000, 0.000, 6.360]],
  "species": ["Zn", "Zn", "Tc", "Rh"],
  "fractional_positions": [[0.000, 0.000, 0.239], [0.000, 0.000, 0.761], [0.500, 0.500, 0.500], [0.500, 0.500, 0.000]]
}

Record 3
{
  "formula": "TeRh",
  "functional": "meta-GGA SCAN",
  "state": "PBEsol geometry",
  "e_tot_ev_per_cell": -143.52,
  "spacegroup": "No. 129",
  "crystal_system": "tetragonal",
  "cell": [[3.535, 0.000, 0.000], [0.000, 3.535, 0.000], [0.000, 0.000, 6.569]],
  "species": ["Te", "Te", "Rh", "Rh"],
  "fractional_positions": [[0.250, 0.250, 0.230], [0.750, 0.750, 0.770], [0.250, 0.250, 0.621], [0.750, 0.750, 0.379]]
}

Record 4
{
  "formula": "TeRh",
  "functional": "meta-GGA SCAN",
  "state": "PBEsol geometry",
  "e_tot_ev_per_cell": -143.75,
  "spacegroup": "No. 194",
  "crystal_system": "hexagonal",
  "cell": [[4.007, 0.000, 0.000], [-2.003, 3.470, 0.000], [0.000, 0.000, 5.591]],
  "species": ["Te", "Te", "Rh", "Rh"],
  "fractional_positions": [[0.333, 0.667, 0.250], [0.667, 0.333, 0.750], [0.000, 0.000, 0.000], [0.000, 0.000, 0.500]]
}